1.
Entry from Alexandria via LeMat-Bulk: SmCo2Ge3 after structural relaxation (PBE).

Properties
energy = -106.40 eV per cell

Cell and atoms, written as POSCAR:
```
SmCo2Ge3
1.0
-0.6246 -0.6657 -3.8619
7.9721 -1.2936 0.9725
-3.9688 -8.5099 2.1089
Co Sm Ge
6 3 9
Direct
0.7929 0.5859 0.9192
0.5032 0.0064 0.7610
0.3564 0.7127 0.5662
0.6436 0.2873 0.4338
0.2071 0.4141 0.0808
0.4968 0.9936 0.2390
0.8495 0.6990 0.3039
0.0000 0.0000 0.0000
0.1505 0.3010 0.6961
0.0523 0.1046 0.3517
0.9477 0.8954 0.6483
0.6434 0.2869 0.9218
0.5000 0.0000 0.5000
0.6404 0.2809 0.1821
0.7730 0.5460 0.6210
0.3566 0.7131 0.0782
0.2270 0.4540 0.3790
0.3596 0.7191 0.8179
```

***

2.
Entry from Alexandria via LeMat-Bulk: Cs2Cd2S after structural relaxation (PBE).

Properties
energy = -8.63 eV per cell

Cell and atoms, written as POSCAR:
```
Cs2Cd2S
1.0
-1.1379 -1.6409 7.0987
-0.5284 -7.1472 -1.7369
3.3304 -4.8391 3.2455
Cs S Cd
2 1 2
Direct
0.2500 0.7500 0.5000
0.7500 0.2500 0.5000
0.0000 0.0000 0.0000
0.6836 0.6836 0.6329
0.3164 0.3164 0.3671
```

***

3.
Entry from Alexandria via LeMat-Bulk: Tm5Sn2 after structural relaxation (PBE).

Properties
excess energy over the best structure of this formula in the dataset = 21.3 kJ/mol of formula units

Cell and atoms, written as POSCAR:
```
Tm5Sn2
1.0
6.1585 0.0000 0.0000
0.0000 8.3702 0.1657
-3.0793 -1.1124 7.7810
Sn Tm
4 10
Direct
0.4162 0.0845 0.1972
0.7809 0.5845 0.1972
0.2191 0.4155 0.8028
0.5838 0.9155 0.8028
0.3300 0.7500 0.0000
0.1788 0.6853 0.5587
0.9583 0.9356 0.2093
0.7490 0.5644 0.7907
0.3799 0.1853 0.5587
0.2510 0.4356 0.2093
0.8212 0.3147 0.4413
0.6700 0.2500 0.0000
0.0417 0.0644 0.7907
0.6201 0.8147 0.4413
```